Entry 1:
The following is a DFT calculation (PBE) of crystalline MoSeBr2 at its relaxed geometry.

a b c (Å): 5.2402 5.2402 3.2861
angles (deg): 90.00 90.00 102.62
Sites, in units of the cell vectors:
Br: 0.0000 0.0000 0.0000
Br: 0.5000 0.5000 0.0000
Mo: 0.5000 0.0000 0.5000
Se: 0.0000 0.5000 0.5000

Results
As for the total magnetic moment: 3.14 μB per formula unit. Its total energy is -3.425 eV per atom. The offset from the most stable computed form comes out at 1321 meV per atom. The space group is Cmmm. The value obtained for the uncorrected formation energy is 990 meV per atom.

Entry 2:
The following is a DFT calculation (PBE) of crystalline Ba4LiRh at its relaxed geometry.

a b c (Å): 7.8714 8.8286 10.0790
angles (deg): 110.76 107.27 102.35
Sites, in units of the cell vectors:
Ba: 0.2854 0.9494 0.5937
Ba: 0.0362 0.8199 0.0891
Ba: 0.1917 0.3557 0.4063
Ba: 0.4472 0.7308 0.9109
Ba: 0.7146 0.0506 0.4063
Ba: 0.8083 0.6443 0.5937
Ba: 0.9638 0.1801 0.9109
Ba: 0.5528 0.2692 0.0891
Li: 0.3735 0.6235 0.2470
Li: 0.6265 0.3765 0.7530
Rh: 0.8276 0.0776 0.1552
Rh: 0.1724 0.9224 0.8448

Results
As for the total magnetic moment: 0.00 μB per formula unit. Its total energy is -2.891 eV per atom. The offset from the most stable computed form comes out at 0 meV per atom. The space group is C2/c. Its formation energy is -38 kJ/mol of formula units.